No. 1
Here is a relaxed LiTeRh2 crystal from Alexandria via LeMat-Bulk. Energies are from PBE.

Summary:
The space-group type is P4/mmm (123). The density of states at the Fermi level is 3.34 states/eV per cell. As for the density: 8.98 Mg/m³. The volume comes out at 15.7 Å³/atom. The uncorrected formation energy is -174 meV/atom.

Cell: 3.2852 3.2852 5.8285 Å, 90.00 90.00 90.00°
Sites, in units of the cell vectors:
Li: 0.0000 0.0000 0.0000
Te: 0.0000 0.0000 0.5000
Rh: 0.5000 0.5000 0.2424
Rh: 0.5000 0.5000 0.7576


No. 2
Here is a relaxed ScHg crystal from Alexandria via LeMat-Bulk. Energies are from PBE.

Summary:
The space-group type is P6_3/m (176). The density of states at the Fermi level is 10.87 states/eV per cell. As for the density: 8.42 Mg/m³. For the formation energy from the elements, the calculation gives -0.4 eV/f.u. The volume comes out at 24.2 Å³/atom.

Cell: 8.0442 8.0442 5.1823 Å, 90.00 90.00 120.00°
Sites, in units of the cell vectors:
Sc: 0.0715 0.2710 0.2500
Sc: 0.1995 0.9285 0.2500
Sc: 0.2710 0.1995 0.7500
Sc: 0.7290 0.8005 0.2500
Sc: 0.8005 0.0715 0.7500
Sc: 0.9285 0.7290 0.7500
Hg: 0.0969 0.4704 0.7500
Hg: 0.3735 0.9031 0.7500
Hg: 0.4704 0.3735 0.2500
Hg: 0.5296 0.6265 0.7500
Hg: 0.6265 0.0969 0.2500
Hg: 0.9031 0.5296 0.2500


No. 3
Here is a relaxed RbPdF4 crystal from Alexandria via LeMat-Bulk. Energies are from PBE.

Summary:
The space-group type is Cmc2_1 (36). The density of states at the Fermi level is 0.49 states/eV per cell. As for the density: 4.23 Mg/m³. The volume comes out at 17.5 Å³/atom. The uncorrected formation energy is -1855 meV/atom.

Cell: 8.2118 8.2118 6.0810 Å, 90.00 90.00 149.14°
Sites, in units of the cell vectors:
Rb: 0.1550 0.8450 0.5000
Rb: 0.8450 0.1550 0.0000
Pd: 0.4198 0.5802 0.5420
Pd: 0.5802 0.4198 0.0420
F: 0.0786 0.9214 0.0431
F: 0.3150 0.6850 0.7123
F: 0.3517 0.6483 0.2757
F: 0.4725 0.5275 0.8578
F: 0.5275 0.4725 0.3578
F: 0.6483 0.3517 0.7757
F: 0.6850 0.3150 0.2123
F: 0.9214 0.0786 0.5431


No. 4
Here is a relaxed Sr2SiSe crystal from Alexandria via LeMat-Bulk. Energies are from PBE.

Summary:
The space-group type is F-43m (216). The density of states at the Fermi level is 4.08 states/eV per cell. The calculation puts the excess energy over the best structure of this formula in the dataset at 313.6 kJ/mol of formula units. As for the density: 4.26 Mg/m³. The volume comes out at 27.5 Å³/atom. The uncorrected formation energy is -118 meV/atom.

Cell: 5.3793 5.3793 5.3793 Å, 60.00 60.00 60.00°
Sites, in units of the cell vectors:
Sr: 0.0000 0.0000 0.0000
Sr: 0.2500 0.2500 0.2500
Si: 0.7500 0.7500 0.7500
Se: 0.5000 0.5000 0.5000


No. 5
Here is a relaxed Li3ClO crystal from Alexandria via LeMat-Bulk. Energies are from PBE.

Summary:
The space-group type is Fd-3m (227). The density of states at the Fermi level is 0.00 states/eV per cell. The calculation puts the excess energy over the best structure of this formula in the dataset at 2.4 kJ/mol of formula units. As for the density: 1.89 Mg/m³. The volume comes out at 12.7 Å³/atom. The uncorrected formation energy is -1818 meV/atom.

Cell: 7.1109 7.1109 7.1109 Å, 60.00 60.00 60.00°
Sites, in units of the cell vectors:
Li: 0.0739 0.0739 0.6761
Li: 0.0739 0.6761 0.0739
Li: 0.0739 0.6761 0.6761
Li: 0.3239 0.3239 0.9261
Li: 0.3239 0.9261 0.3239
Li: 0.3239 0.9261 0.9261
Li: 0.6761 0.0739 0.0739
Li: 0.6761 0.0739 0.6761
Li: 0.6761 0.6761 0.0739
Li: 0.9261 0.3239 0.3239
Li: 0.9261 0.3239 0.9261
Li: 0.9261 0.9261 0.3239
Cl: 0.0000 0.5000 0.5000
Cl: 0.5000 0.0000 0.5000
Cl: 0.5000 0.5000 0.0000
Cl: 0.5000 0.5000 0.5000
O: 0.0000 0.0000 0.0000
O: 0.0000 0.0000 0.5000
O: 0.0000 0.5000 0.0000
O: 0.5000 0.0000 0.0000


No. 6
Here is a relaxed PaFe2GeN crystal from Alexandria via LeMat-Bulk. Energies are from PBE.

Summary:
The space-group type is Cmcm (63). The density of states at the Fermi level is 10.75 states/eV per cell. As for the density: 10.45 Mg/m³. The volume comes out at 13.6 Å³/atom. The uncorrected formation energy is -630 meV/atom.

Cell: 5.7799 5.7799 6.7391 Å, 90.00 90.00 142.68°
Sites, in units of the cell vectors:
Pa: 0.0573 0.9427 0.7500
Pa: 0.9427 0.0573 0.2500
Fe: 0.3400 0.6600 0.5491
Fe: 0.3400 0.6600 0.9509
Fe: 0.6600 0.3400 0.0491
Fe: 0.6600 0.3400 0.4509
Ge: 0.2228 0.7772 0.2500
Ge: 0.7772 0.2228 0.7500
N: 0.5000 0.5000 0.0000
N: 0.5000 0.5000 0.5000